Ga12Te5S3: optimized geometry, GGA-PBE.

Cell and atoms, written as POSCAR:
```
Ga12Te5S3
1.0
-7.481 -9.426 -8.137
14.174 -1.271 -2.915
-2.325 -2.828 14.058
Te Ga S
20 48 12
direct
0.500 0.000 0.000
0.750 0.125 0.875
0.750 0.625 0.375
0.875 0.625 0.750
0.000 0.500 0.500
0.625 0.875 0.250
0.875 0.250 0.625
0.500 0.000 0.500
0.000 0.500 0.000
0.000 0.000 0.000
0.250 0.375 0.625
0.625 0.750 0.875
0.125 0.375 0.250
0.375 0.250 0.125
0.375 0.125 0.750
0.000 0.000 0.500
0.125 0.750 0.375
0.250 0.875 0.125
0.500 0.500 0.000
0.500 0.500 0.500
0.073 0.395 0.846
0.895 0.846 0.573
0.346 0.573 0.395
0.178 0.451 0.105
0.727 0.549 0.154
0.322 0.927 0.773
0.105 0.154 0.427
0.322 0.395 0.049
0.773 0.346 0.951
0.105 0.951 0.178
0.573 0.227 0.178
0.178 0.727 0.573
0.427 0.654 0.105
0.951 0.846 0.773
0.605 0.678 0.451
0.951 0.105 0.678
0.573 0.346 0.895
0.927 0.605 0.154
0.273 0.451 0.846
0.727 0.178 0.073
0.346 0.773 0.451
0.605 0.927 0.654
0.895 0.049 0.822
0.927 0.322 0.273
0.678 0.073 0.227
0.049 0.895 0.322
0.549 0.822 0.395
0.451 0.273 0.346
0.773 0.427 0.322
0.049 0.154 0.227
0.822 0.273 0.427
0.654 0.427 0.605
0.549 0.727 0.654
0.227 0.573 0.678
0.227 0.654 0.049
0.846 0.951 0.273
0.427 0.773 0.822
0.822 0.549 0.895
0.654 0.227 0.549
0.395 0.073 0.346
0.154 0.049 0.727
0.395 0.322 0.549
0.846 0.895 0.073
0.073 0.678 0.727
0.678 0.605 0.951
0.154 0.105 0.927
0.451 0.178 0.605
0.273 0.822 0.927
0.750 0.875 0.625
0.875 0.125 0.250
0.875 0.750 0.125
0.625 0.375 0.750
0.250 0.625 0.875
0.125 0.875 0.750
0.750 0.375 0.125
0.375 0.750 0.625
0.625 0.250 0.375
0.375 0.625 0.250
0.250 0.125 0.375
0.125 0.250 0.875
```

Results
Space group: Ia-3d (230)
VASP energy (eV/atom): -3.269



GaTeS3: optimized geometry, GGA-PBE.

Cell and atoms, written as POSCAR:
```
GaTeS3
1.0
-3.717 4.557 0.627
-1.398 -0.185 -6.935
-9.087 -7.691 2.037
Te S Ga
4 12 4
direct
0.500 0.000 0.500
0.500 0.000 0.000
0.000 0.500 0.500
0.000 0.500 0.000
0.625 0.672 0.920
0.384 0.027 0.750
0.375 0.328 0.080
0.884 0.473 0.250
0.375 0.328 0.420
0.875 0.172 0.920
0.125 0.828 0.420
0.125 0.828 0.080
0.625 0.672 0.580
0.875 0.172 0.580
0.616 0.973 0.250
0.116 0.527 0.750
0.547 0.306 0.250
0.453 0.694 0.750
0.953 0.806 0.250
0.047 0.194 0.750
```

Results
Space group: Pnma (62)
Energy above the most stable polymorph in this dataset (meV/atom): 164